(1)
A plane-wave DFT calculation with PBE was carried out for crystalline K2Cd3 at its relaxed geometry.

- formation enthalpy at 0 K (meV/atom) = -86
- DOS(E_F) (states/eV/cell) = 8.0

CIF file:
```
data_K2Cd3
_symmetry_space_group_name_H-M 'C m c e'
_symmetry_Int_Tables_number 64
_symmetry_space_group_name_Hall '-C 2ac 2'
_cell_length_a 6.171
_cell_length_b 12.537
_cell_length_c 9.315
_cell_angle_alpha 90.00
_cell_angle_beta 90.00
_cell_angle_gamma 90.00
loop_
_atom_site_label
_atom_site_type_symbol
_atom_site_fract_x
_atom_site_fract_y
_atom_site_fract_z
K1 K 0.000 0.164 0.100
Cd1 Cd 0.000 0.000 0.500
Cd2 Cd 0.250 0.086 0.750
```

(2)
A plane-wave DFT calculation with PBE was carried out for crystalline KCd at its relaxed geometry.

- formation enthalpy at 0 K (meV/atom) = 5
- DOS(E_F) (states/eV/cell) = 9.1

CIF file:
```
data_KCd
_symmetry_space_group_name_H-M 'I 4/m'
_symmetry_Int_Tables_number 87
_symmetry_space_group_name_Hall '-I 4'
_cell_length_a 13.106
_cell_length_b 13.106
_cell_length_c 4.090
_cell_angle_alpha 90.00
_cell_angle_beta 90.00
_cell_angle_gamma 90.00
loop_
_atom_site_label
_atom_site_type_symbol
_atom_site_fract_x
_atom_site_fract_y
_atom_site_fract_z
K1 K 0.105 0.301 0.000
Cd1 Cd 0.069 0.856 0.500
```

(3)
A plane-wave DFT calculation with PBE was carried out for crystalline KCd at its relaxed geometry.

- formation enthalpy at 0 K (meV/atom) = -25
- DOS(E_F) (states/eV/cell) = 8.9

CIF file:
```
data_KCd
_symmetry_space_group_name_H-M 'P 63/m m c'
_symmetry_Int_Tables_number 194
_symmetry_space_group_name_Hall '-P 6c 2c'
_cell_length_a 10.1697
_cell_length_b 10.1697
_cell_length_c 5.6069
_cell_angle_alpha 90.00
_cell_angle_beta 90.00
_cell_angle_gamma 120.00
loop_
_atom_site_label
_atom_site_type_symbol
_atom_site_fract_x
_atom_site_fract_y
_atom_site_fract_z
K1 K 0.1802 0.3605 0.2500
Cd1 Cd 0.1260 0.5630 0.7500
```

(4)
A plane-wave DFT calculation with PBE was carried out for crystalline K5Cd at its relaxed geometry.

- formation enthalpy at 0 K (meV/atom) = 1
- DOS(E_F) (states/eV/cell) = 8.3

CIF file:
```
data_K5Cd
_symmetry_space_group_name_H-M 'C 1 m 1'
_symmetry_Int_Tables_number 8
_symmetry_space_group_name_Hall 'C -2y'
_cell_length_a 15.446
_cell_length_b 4.555
_cell_length_c 11.178
_cell_angle_alpha 90.00
_cell_angle_beta 113.35
_cell_angle_gamma 90.00
loop_
_atom_site_label
_atom_site_type_symbol
_atom_site_fract_x
_atom_site_fract_y
_atom_site_fract_z
K1 K 0.000 0.000 0.000
K2 K 0.036 0.000 0.413
K3 K 0.199 0.500 0.844
K4 K 0.237 0.500 0.260
K5 K 0.368 0.000 0.630
Cd1 Cd 0.367 0.000 0.127
```

(5)
A plane-wave DFT calculation with PBE was carried out for crystalline K7Cd at its relaxed geometry.

- formation enthalpy at 0 K (meV/atom) = 25
- DOS(E_F) (states/eV/cell) = 19.2

CIF file:
```
data_K7Cd
_symmetry_space_group_name_H-M 'R -3 m'
_symmetry_Int_Tables_number 166
_symmetry_space_group_name_Hall '-R 3 2"'
_cell_length_a 7.0854
_cell_length_b 7.0854
_cell_length_c 34.4120
_cell_angle_alpha 90.00
_cell_angle_beta 90.00
_cell_angle_gamma 120.00
loop_
_atom_site_label
_atom_site_type_symbol
_atom_site_fract_x
_atom_site_fract_y
_atom_site_fract_z
K1 K 0.0000 0.0000 0.0000
K2 K 0.0000 0.0000 0.1360
K3 K 0.0000 0.0000 0.2573
K4 K 0.0000 0.0000 0.3912
Cd1 Cd 0.0000 0.0000 0.5000
```

(6)
A plane-wave DFT calculation with PBE was carried out for crystalline K4Cd5 at its relaxed geometry.

- formation enthalpy at 0 K (meV/atom) = 8
- DOS(E_F) (states/eV/cell) = 13.8

CIF file:
```
data_K4Cd5
_symmetry_space_group_name_H-M 'I 4/m m m'
_symmetry_Int_Tables_number 139
_symmetry_space_group_name_Hall '-I 4 2'
_cell_length_a 11.345
_cell_length_b 11.345
_cell_length_c 5.379
_cell_angle_alpha 90.00
_cell_angle_beta 90.00
_cell_angle_gamma 90.00
loop_
_atom_site_label
_atom_site_type_symbol
_atom_site_fract_x
_atom_site_fract_y
_atom_site_fract_z
K1 K 0.000 0.303 0.000
Cd1 Cd 0.000 0.000 0.000
Cd2 Cd 0.139 0.139 0.500
```

(7)
A plane-wave DFT calculation with PBE was carried out for crystalline K5Cd at its relaxed geometry.

- formation enthalpy at 0 K (meV/atom) = 31
- DOS(E_F) (states/eV/cell) = 4.4

CIF file:
```
data_K5Cd
_symmetry_space_group_name_H-M 'P -6 2 m'
_symmetry_Int_Tables_number 189
_symmetry_space_group_name_Hall 'P -6 -2'
_cell_length_a 7.6031
_cell_length_b 7.6031
_cell_length_c 6.9651
_cell_angle_alpha 90.00
_cell_angle_beta 90.00
_cell_angle_gamma 120.00
loop_
_atom_site_label
_atom_site_type_symbol
_atom_site_fract_x
_atom_site_fract_y
_atom_site_fract_z
K1 K 0.0000 0.6939 0.0000
K2 K 0.3333 0.6667 0.5000
Cd1 Cd 0.0000 0.0000 0.5000
```

(8)
A plane-wave DFT calculation with PBE was carried out for crystalline K2Cd at its relaxed geometry.

- formation enthalpy at 0 K (meV/atom) = -17
- DOS(E_F) (states/eV/cell) = 6.6

CIF file:
```
data_K2Cd
_symmetry_space_group_name_H-M 'C 1 2/m 1'
_symmetry_Int_Tables_number 12
_symmetry_space_group_name_Hall '-C 2y'
_cell_length_a 17.898
_cell_length_b 4.118
_cell_length_c 8.307
_cell_angle_alpha 90.00
_cell_angle_beta 105.39
_cell_angle_gamma 90.00
loop_
_atom_site_label
_atom_site_type_symbol
_atom_site_fract_x
_atom_site_fract_y
_atom_site_fract_z
K1 K 0.119 0.000 0.066
K2 K 0.157 0.000 0.597
Cd1 Cd 0.003 0.500 0.319
```

(9)
A plane-wave DFT calculation with PBE was carried out for crystalline K5Cd3 at its relaxed geometry.

- formation enthalpy at 0 K (meV/atom) = -9
- DOS(E_F) (states/eV/cell) = 10.3

CIF file:
```
data_K5Cd3
_symmetry_space_group_name_H-M 'P 63/m c m'
_symmetry_Int_Tables_number 193
_symmetry_space_group_name_Hall '-P 6c 2'
_cell_length_a 10.7424
_cell_length_b 10.7424
_cell_length_c 7.3836
_cell_angle_alpha 90.00
_cell_angle_beta 90.00
_cell_angle_gamma 120.00
loop_
_atom_site_label
_atom_site_type_symbol
_atom_site_fract_x
_atom_site_fract_y
_atom_site_fract_z
K1 K 0.0000 0.2532 0.2500
K2 K 0.3333 0.6667 0.0000
Cd1 Cd 0.0000 0.4042 0.7500
```

(10)
A plane-wave DFT calculation with PBE was carried out for crystalline K2Cd at its relaxed geometry.

- formation enthalpy at 0 K (meV/atom) = 27
- DOS(E_F) (states/eV/cell) = 5.7

CIF file:
```
data_K2Cd
_symmetry_space_group_name_H-M 'F m -3 m'
_symmetry_Int_Tables_number 225
_symmetry_space_group_name_Hall '-F 4 2 3'
_cell_length_a 8.615
_cell_length_b 8.615
_cell_length_c 8.615
_cell_angle_alpha 90.00
_cell_angle_beta 90.00
_cell_angle_gamma 90.00
loop_
_atom_site_label
_atom_site_type_symbol
_atom_site_fract_x
_atom_site_fract_y
_atom_site_fract_z
K1 K 0.250 0.250 0.250
Cd1 Cd 0.000 0.000 0.000
```

(11)
A plane-wave DFT calculation with PBE was carried out for crystalline K15Cd at its relaxed geometry.

- formation enthalpy at 0 K (meV/atom) = 19
- DOS(E_F) (states/eV/cell) = 12.3

CIF file:
```
data_K15Cd
_symmetry_space_group_name_H-M 'P -6 m 2'
_symmetry_Int_Tables_number 187
_symmetry_space_group_name_Hall 'P -6 2'
_cell_length_a 9.1694
_cell_length_b 9.1694
_cell_length_c 14.8411
_cell_angle_alpha 90.00
_cell_angle_beta 90.00
_cell_angle_gamma 120.00
loop_
_atom_site_label
_atom_site_type_symbol
_atom_site_fract_x
_atom_site_fract_y
_atom_site_fract_z
K1 K 0.0000 0.0000 0.0000
K2 K 0.0086 0.5043 0.5000
K3 K 0.3206 0.1603 0.2685
K4 K 0.3333 0.6667 0.2418
K5 K 0.5038 0.0075 0.0000
Cd1 Cd 0.0000 0.0000 0.5000
```

(12)
A plane-wave DFT calculation with PBE was carried out for crystalline K2Cd at its relaxed geometry.

- formation enthalpy at 0 K (meV/atom) = -5
- DOS(E_F) (states/eV/cell) = 4.2

CIF file:
```
data_K2Cd
_symmetry_space_group_name_H-M 'I 4/m m m'
_symmetry_Int_Tables_number 139
_symmetry_space_group_name_Hall '-I 4 2'
_cell_length_a 4.323
_cell_length_b 4.323
_cell_length_c 15.840
_cell_angle_alpha 90.00
_cell_angle_beta 90.00
_cell_angle_gamma 90.00
loop_
_atom_site_label
_atom_site_type_symbol
_atom_site_fract_x
_atom_site_fract_y
_atom_site_fract_z
K1 K 0.000 0.000 0.137
Cd1 Cd 0.000 0.000 0.500
```

(13)
A plane-wave DFT calculation with PBE was carried out for crystalline K5Cd4 at its relaxed geometry.

- formation enthalpy at 0 K (meV/atom) = -41
- DOS(E_F) (states/eV/cell) = 11.2

CIF file:
```
data_K5Cd4
_symmetry_space_group_name_H-M 'C 1 2/m 1'
_symmetry_Int_Tables_number 12
_symmetry_space_group_name_Hall '-C 2y'
_cell_length_a 12.912
_cell_length_b 5.412
_cell_length_c 12.334
_cell_angle_alpha 90.00
_cell_angle_beta 112.99
_cell_angle_gamma 90.00
loop_
_atom_site_label
_atom_site_type_symbol
_atom_site_fract_x
_atom_site_fract_y
_atom_site_fract_z
K1 K 0.000 0.000 0.000
K2 K 0.113 0.000 0.399
K3 K 0.250 0.000 0.827
Cd1 Cd 0.052 0.500 0.831
Cd2 Cd 0.097 0.500 0.615
```

(14)
A plane-wave DFT calculation with PBE was carried out for crystalline K2Cd at its relaxed geometry.

- formation enthalpy at 0 K (meV/atom) = 3
- DOS(E_F) (states/eV/cell) = 3.7

CIF file:
```
data_K2Cd
_symmetry_space_group_name_H-M 'P 63/m m c'
_symmetry_Int_Tables_number 194
_symmetry_space_group_name_Hall '-P 6c 2c'
_cell_length_a 6.3466
_cell_length_b 6.3466
_cell_length_c 8.0265
_cell_angle_alpha 90.00
_cell_angle_beta 90.00
_cell_angle_gamma 120.00
loop_
_atom_site_label
_atom_site_type_symbol
_atom_site_fract_x
_atom_site_fract_y
_atom_site_fract_z
K1 K 0.0000 0.0000 0.0000
K2 K 0.3333 0.6667 0.2500
Cd1 Cd 0.3333 0.6667 0.7500
```

(15)
A plane-wave DFT calculation with PBE was carried out for crystalline KCd at its relaxed geometry.

- formation enthalpy at 0 K (meV/atom) = 8
- DOS(E_F) (states/eV/cell) = 5.4

CIF file:
```
data_KCd
_symmetry_space_group_name_H-M 'I 41/a m d'
_symmetry_Int_Tables_number 141
_cell_length_a 5.385
_cell_length_b 5.385
_cell_length_c 10.019
_cell_angle_alpha 90.00
_cell_angle_beta 90.00
_cell_angle_gamma 90.00
loop_
_symmetry_equiv_pos_as_xyz
'x,y,z'
'-x,-y,-z'
'-y+1/4,x+3/4,z+1/4'
'y+1/4,-x+3/4,-z+1/4'
'-x+1/2,-y,z+1/2'
'x+1/2,y,-z+1/2'
'y+1/4,-x+1/4,z+3/4'
'-y+1/4,x+1/4,-z+3/4'
'x,-y,-z'
'-x,y,z'
'-y+1/4,-x+1/4,-z+3/4'
'y+1/4,x+1/4,z+3/4'
'-x+1/2,y,-z+1/2'
'x+1/2,-y,z+1/2'
'y+1/4,x+3/4,-z+1/4'
'-y+1/4,-x+3/4,z+1/4'
'x+1/2,y+1/2,z+1/2'
'-x+1/2,-y+1/2,-z+1/2'
'-y+3/4,x+1/4,z+3/4'
'y+3/4,-x+1/4,-z+3/4'
'-x,-y+1/2,z'
'x,y+1/2,-z'
'y+3/4,-x+3/4,z+1/4'
'-y+3/4,x+3/4,-z+1/4'
'x+1/2,-y+1/2,-z+1/2'
'-x+1/2,y+1/2,z+1/2'
'-y+3/4,-x+3/4,-z+1/4'
'y+3/4,x+3/4,z+1/4'
'-x,y+1/2,-z'
'x,-y+1/2,z'
'y+3/4,x+1/4,-z+3/4'
'-y+3/4,-x+1/4,z+3/4'
loop_
_atom_site_label
_atom_site_type_symbol
_atom_site_fract_x
_atom_site_fract_y
_atom_site_fract_z
K1 K 0.000 0.250 0.375
Cd1 Cd 0.000 0.250 0.875
```

(16)
A plane-wave DFT calculation with PBE was carried out for crystalline KCd at its relaxed geometry.

- formation enthalpy at 0 K (meV/atom) = 69
- DOS(E_F) (states/eV/cell) = 5.1

CIF file:
```
data_KCd
_symmetry_space_group_name_H-M 'P 42/m n m'
_symmetry_Int_Tables_number 136
_symmetry_space_group_name_Hall '-P 4n 2n'
_cell_length_a 7.069
_cell_length_b 7.069
_cell_length_c 7.209
_cell_angle_alpha 90.00
_cell_angle_beta 90.00
_cell_angle_gamma 90.00
loop_
_atom_site_label
_atom_site_type_symbol
_atom_site_fract_x
_atom_site_fract_y
_atom_site_fract_z
K1 K 0.184 0.184 0.000
Cd1 Cd 0.154 0.154 0.500
```

(17)
A plane-wave DFT calculation with PBE was carried out for crystalline KCd12 at its relaxed geometry.

- formation enthalpy at 0 K (meV/atom) = -33
- DOS(E_F) (states/eV/cell) = 9.8

CIF file:
```
data_KCd12
_symmetry_space_group_name_H-M 'I 4/m m m'
_symmetry_Int_Tables_number 139
_symmetry_space_group_name_Hall '-I 4 2'
_cell_length_a 10.261
_cell_length_b 10.261
_cell_length_c 6.025
_cell_angle_alpha 90.00
_cell_angle_beta 90.00
_cell_angle_gamma 90.00
loop_
_atom_site_label
_atom_site_type_symbol
_atom_site_fract_x
_atom_site_fract_y
_atom_site_fract_z
K1 K 0.000 0.000 0.000
Cd1 Cd 0.000 0.218 0.500
Cd2 Cd 0.000 0.354 0.000
Cd3 Cd 0.250 0.250 0.250
```

(18)
A plane-wave DFT calculation with PBE was carried out for crystalline KCd at its relaxed geometry.

- formation enthalpy at 0 K (meV/atom) = 35
- DOS(E_F) (states/eV/cell) = 6.7

CIF file:
```
data_KCd
_symmetry_space_group_name_H-M 'A m m 2'
_symmetry_Int_Tables_number 38
_symmetry_space_group_name_Hall 'A 2 -2'
_cell_length_a 4.154
_cell_length_b 11.741
_cell_length_c 10.461
_cell_angle_alpha 90.00
_cell_angle_beta 90.00
_cell_angle_gamma 90.00
loop_
_atom_site_label
_atom_site_type_symbol
_atom_site_fract_x
_atom_site_fract_y
_atom_site_fract_z
K1 K 0.000 0.000 0.000
K2 K 0.000 0.158 0.420
Cd1 Cd 0.500 0.000 0.677
Cd2 Cd 0.500 0.246 0.167
```

(19)
A plane-wave DFT calculation with PBE was carried out for crystalline K5Cd at its relaxed geometry.

- formation enthalpy at 0 K (meV/atom) = 6
- DOS(E_F) (states/eV/cell) = 15.3

CIF file:
```
data_K5Cd
_symmetry_space_group_name_H-M 'I 4/m c m'
_symmetry_Int_Tables_number 140
_symmetry_space_group_name_Hall '-I 4 2c'
_cell_length_a 9.258
_cell_length_b 9.258
_cell_length_c 16.915
_cell_angle_alpha 90.00
_cell_angle_beta 90.00
_cell_angle_gamma 90.00
loop_
_atom_site_label
_atom_site_type_symbol
_atom_site_fract_x
_atom_site_fract_y
_atom_site_fract_z
K1 K 0.000 0.000 0.000
K2 K 0.166 0.334 0.147
Cd1 Cd 0.000 0.000 0.250
```

(20)
A plane-wave DFT calculation with PBE was carried out for crystalline K5Cd at its relaxed geometry.

- formation enthalpy at 0 K (meV/atom) = 20
- DOS(E_F) (states/eV/cell) = 7.3

CIF file:
```
data_K5Cd
_symmetry_space_group_name_H-M 'C m m m'
_symmetry_Int_Tables_number 65
_symmetry_space_group_name_Hall '-C 2 2'
_cell_length_a 6.001
_cell_length_b 18.396
_cell_length_c 6.305
_cell_angle_alpha 90.00
_cell_angle_beta 90.00
_cell_angle_gamma 90.00
loop_
_atom_site_label
_atom_site_type_symbol
_atom_site_fract_x
_atom_site_fract_y
_atom_site_fract_z
K1 K 0.000 0.000 0.000
K2 K 0.000 0.149 0.500
K3 K 0.000 0.344 0.000
Cd1 Cd 0.000 0.500 0.500
```

(21)
A plane-wave DFT calculation with PBE was carried out for crystalline K3Cd5 at its relaxed geometry.

- formation enthalpy at 0 K (meV/atom) = 4
- DOS(E_F) (states/eV/cell) = 9.6

CIF file:
```
data_K3Cd5
_symmetry_space_group_name_H-M 'P 63/m c m'
_symmetry_Int_Tables_number 193
_symmetry_space_group_name_Hall '-P 6c 2'
_cell_length_a 11.4293
_cell_length_b 11.4293
_cell_length_c 5.4392
_cell_angle_alpha 90.00
_cell_angle_beta 90.00
_cell_angle_gamma 120.00
loop_
_atom_site_label
_atom_site_type_symbol
_atom_site_fract_x
_atom_site_fract_y
_atom_site_fract_z
K1 K 0.0000 0.3674 0.2500
Cd1 Cd 0.0000 0.1588 0.7500
Cd2 Cd 0.3333 0.6667 0.0000
```

(22)
A plane-wave DFT calculation with PBE was carried out for crystalline KCd8 at its relaxed geometry.

- formation enthalpy at 0 K (meV/atom) = 29
- DOS(E_F) (states/eV/cell) = 9.3

CIF file:
```
data_KCd8
_symmetry_space_group_name_H-M 'I 4/m m m'
_symmetry_Int_Tables_number 139
_symmetry_space_group_name_Hall '-I 4 2'
_cell_length_a 10.015
_cell_length_b 10.015
_cell_length_c 4.544
_cell_angle_alpha 90.00
_cell_angle_beta 90.00
_cell_angle_gamma 90.00
loop_
_atom_site_label
_atom_site_type_symbol
_atom_site_fract_x
_atom_site_fract_y
_atom_site_fract_z
K1 K 0.000 0.000 0.000
Cd1 Cd 0.000 0.340 0.000
Cd2 Cd 0.178 0.178 0.500
```